(1)
YBrCl2: relaxed, PBEsol.

Output
final energy = -38.2 eV per cell
offset from the most stable computed form = 494 meV per atom
SG = I4/mmm (139)
formation energy without anion corrections = -1.60 eV per atom

Cell: 4.5246 4.5246 8.1911 Å, 90.00 90.00 90.00°
Positions (direct):
Y (0.0000, 0.0000, 0.0000)
Y (0.5000, 0.5000, 0.5000)
Br (0.0000, 0.0000, 0.5000)
Br (0.5000, 0.5000, 0.0000)
Cl (0.0000, 0.5000, 0.2500)
Cl (0.0000, 0.5000, 0.7500)
Cl (0.5000, 0.0000, 0.2500)
Cl (0.5000, 0.0000, 0.7500)

---

(2)
YBrCl2: relaxed, PBEsol.

Output
final energy = -35.1 eV per cell
offset from the most stable computed form = 887 meV per atom
SG = C2/m (12)
formation energy without anion corrections = -1.20 eV per atom

Cell: 6.0790 9.5151 4.2340 Å, 90.00 127.98 90.00°
Positions (direct):
Y (0.0000, 0.0000, 0.0000)
Y (0.5000, 0.5000, 0.0000)
Br (0.0000, 0.5000, 0.0000)
Br (0.5000, 0.0000, 0.0000)
Cl (0.2500, 0.2500, 0.5000)
Cl (0.2500, 0.7500, 0.5000)
Cl (0.7500, 0.2500, 0.5000)
Cl (0.7500, 0.7500, 0.5000)